PmSnGe: optimized geometry, PBE-GGA.

a = 4.1962 Å, b = 4.1009 Å, c = 9.0792 Å
α = 90.00°, β = 76.63°, γ = 90.00°
Last column: nearest neighbours and their distance in Å.
Sites, in units of the cell vectors:
Sn1 0.3768 0.9155 0.5268  1 Ge 2.90, 4 Sn 3.20-3.21
Sn2 0.8016 0.4154 0.6724  1 Ge 2.90, 4 Sn 3.20-3.21
Pm1 0.1820 0.9149 0.9091  6 Ge 3.04-3.31, 1 Sn 3.38
Pm2 0.9912 0.4150 0.2902  6 Ge 3.04-3.31, 1 Sn 3.38
Ge1 0.6355 0.4149 0.0012  2 Ge 2.69, 1 Sn 2.90
Ge2 0.5376 0.9149 0.1982  2 Ge 2.69, 1 Sn 2.90

For the density of states at the Fermi level, the calculation gives 0.476 states/eV per atom. The calculated formation energy is -0.61 eV/atom. The symmetry is No. 6.

Pm6SnGe: optimized geometry, PBE-GGA.

a = 4.8534 Å, b = 4.8534 Å, c = 9.6942 Å
α = 90.00°, β = 90.00°, γ = 90.00°
Last column: nearest neighbours and their distance in Å.
Sites, in units of the cell vectors:
Pm1 0.5000 0.5000 0.0000  4 Sn 3.43, 8 Pm 3.48
Pm2 0.5000 0.0000 0.7425  8 Pm 3.38-3.48, 2 Ge 3.38, 2 Sn 3.48
Pm3 0.0000 0.5000 0.2575  8 Pm 3.38-3.48, 2 Ge 3.38, 2 Sn 3.48
Pm4 0.5000 0.0000 0.2575  8 Pm 3.38-3.48, 2 Ge 3.38, 2 Sn 3.48
Pm5 0.5000 0.5000 0.5000  8 Pm 3.38, 4 Ge 3.43
Pm6 0.0000 0.5000 0.7425  2 Ge 3.38, 8 Pm 3.38-3.48, 2 Sn 3.48
Ge1 0.0000 0.0000 0.5000  12 Pm 3.38-3.43
Sn1 0.0000 0.0000 0.0000  12 Pm 3.43-3.48

For the density of states at the Fermi level, the calculation gives 1.066 states/eV per atom. The calculated formation energy is -0.39 eV/atom. The symmetry is No. 123.

Pm2SnGe: optimized geometry, PBE-GGA.

a = 3.4437 Å, b = 3.4437 Å, c = 8.7905 Å
α = 90.00°, β = 90.00°, γ = 90.00°
Last column: nearest neighbours and their distance in Å.
Sites, in units of the cell vectors:
Ge1 0.5000 0.5000 0.0000  8 Pm 3.15, 4 Ge 3.44
Sn1 0.5000 0.5000 0.5000  8 Pm 3.41, 4 Sn 3.44
Pm1 0.0000 0.0000 0.7721  4 Ge 3.15, 4 Sn 3.41, 4 Pm 3.44
Pm2 0.0000 0.0000 0.2279  4 Ge 3.15, 4 Sn 3.41, 4 Pm 3.44

For the density of states at the Fermi level, the calculation gives 0.762 states/eV per atom. The calculated formation energy is -0.66 eV/atom. The symmetry is No. 123.

Pm7Sn3Ge2: optimized geometry, PBE-GGA.

a = 5.4258 Å, b = 5.6102 Å, c = 13.0156 Å
α = 102.45°, β = 90.00°, γ = 90.00°
Last column: nearest neighbours and their distance in Å.
Sites, in units of the cell vectors:
Sn1 0.5000 0.3096 0.6192  6 Pm 3.33-3.62
Sn2 0.5000 0.6904 0.3808  6 Pm 3.33-3.62
Sn3 0.5000 0.5000 0.0000  12 Pm 3.79-3.97
Pm1 0.0000 0.3858 0.7716  2 Ge 2.81
Pm2 0.0000 0.7776 0.5552  1 Ge 2.84, 2 Pm 3.14
Pm3 0.5000 0.8996 0.7991  2 Ge 2.73
Pm4 0.0000 0.2224 0.4448  1 Ge 2.84, 2 Pm 3.14
Pm5 0.0000 0.6142 0.2284  2 Ge 2.81
Pm6 0.0000 0.0000 0.0000  2 Ge 2.82
Pm7 0.5000 0.1004 0.2009  2 Ge 2.73
Ge1 0.0000 0.8892 0.7784  6 Pm 2.73-2.84
Ge2 0.0000 0.1108 0.2216  6 Pm 2.73-2.84

For the density of states at the Fermi level, the calculation gives 0.708 states/eV per atom. The calculated formation energy is -0.41 eV/atom. The symmetry is No. 65.

Pm2Sn4Ge: optimized geometry, PBE-GGA.

a = 4.4913 Å, b = 4.4913 Å, c = 9.5552 Å
α = 90.00°, β = 90.00°, γ = 90.00°
Last column: nearest neighbours and their distance in Å.
Sites, in units of the cell vectors:
Ge1 0.5000 0.5000 0.0000  4 Sn 2.85, 4 Pm 3.18
Sn1 0.0000 0.0000 0.5000  4 Sn 3.18, 4 Pm 3.38
Sn2 0.5000 0.5000 0.5000  4 Sn 3.18, 4 Pm 3.38
Sn3 0.5000 0.0000 0.1830  2 Ge 2.85
Sn4 0.0000 0.5000 0.8170  2 Ge 2.85
Pm1 0.5000 0.0000 0.7639  2 Ge 3.18, 8 Sn 3.22-3.38
Pm2 0.0000 0.5000 0.2361  2 Ge 3.18, 8 Sn 3.22-3.38

For the density of states at the Fermi level, the calculation gives 0.655 states/eV per atom. The calculated formation energy is -0.44 eV/atom. The symmetry is No. 115.

Pm3Sn4Ge2: optimized geometry, PBE-GGA.

a = 4.2264 Å, b = 8.0678 Å, c = 8.0678 Å
α = 120.00°, β = 90.00°, γ = 90.00°
Last column: nearest neighbours and their distance in Å.
Sites, in units of the cell vectors:
Pm1 0.5000 0.3943 0.0000  7 Sn 3.18-3.54, 4 Ge 3.26
Pm2 0.5000 0.6057 0.6057  7 Sn 3.18-3.54, 4 Ge 3.26
Pm3 0.5000 0.0000 0.3943  7 Sn 3.18-3.54, 4 Ge 3.26
Sn1 0.0000 0.0000 0.7148  2 Ge 2.90, 2 Sn 3.12
Sn2 0.0000 0.2852 0.2852  2 Ge 2.90, 2 Sn 3.12
Sn3 0.5000 0.0000 0.0000  6 Sn 3.12, 3 Pm 3.18
Sn4 0.0000 0.7148 0.0000  2 Ge 2.90, 2 Sn 3.12
Ge1 0.0000 0.3333 0.6667  3 Sn 2.90
Ge2 0.0000 0.6667 0.3333  3 Sn 2.90

For the density of states at the Fermi level, the calculation gives 0.785 states/eV per atom. The calculated formation energy is -0.50 eV/atom. The symmetry is No. 189.

Pm12SnGe7: optimized geometry, PBE-GGA.

a = 9.4566 Å, b = 9.4566 Å, c = 9.4566 Å
α = 109.47°, β = 109.47°, γ = 109.47°
Last column: nearest neighbours and their distance in Å.
Sites, in units of the cell vectors:
Ge1 0.0000 0.5000 0.5000  4 Pm 2.94
Ge2 0.5000 0.5000 0.0000  4 Pm 2.94
Ge3 0.0000 0.0000 0.5000  6 Pm 2.88
Ge4 0.5000 0.5000 0.5000  6 Pm 2.88
Ge5 0.0000 0.5000 0.0000  6 Pm 2.88
Ge6 0.5000 0.0000 0.0000  6 Pm 2.88
Ge7 0.5000 0.0000 0.5000  4 Pm 2.94
Pm1 0.6976 0.8169 0.5145  3 Ge 2.88-2.94
Pm2 0.4855 0.3024 0.1831  3 Ge 2.88-2.94
Pm3 0.1193 0.3024 0.8169  3 Ge 2.88-2.94
Pm4 0.5145 0.6976 0.8169  3 Ge 2.88-2.94
Pm5 0.8169 0.5145 0.6976  3 Ge 2.88-2.94
Pm6 0.1831 0.8807 0.6976  3 Ge 2.88-2.94
Pm7 0.8807 0.6976 0.1831  3 Ge 2.88-2.94
Pm8 0.3024 0.1831 0.4855  3 Ge 2.88-2.94
Pm9 0.6976 0.1831 0.8807  3 Ge 2.88-2.94
Pm10 0.8169 0.1193 0.3024  3 Ge 2.88-2.94
Pm11 0.1831 0.4855 0.3024  3 Ge 2.88-2.94
Pm12 0.3024 0.8169 0.1193  3 Ge 2.88-2.94
Sn1 0.0000 0.0000 0.0000  12 Pm 3.86

For the density of states at the Fermi level, the calculation gives 0.723 states/eV per atom. The calculated formation energy is -0.47 eV/atom. The symmetry is No. 204.

PmSn2Ge: optimized geometry, PBE-GGA.

a = 4.6085 Å, b = 4.6085 Å, c = 9.4679 Å
α = 90.00°, β = 90.00°, γ = 90.00°
Last column: nearest neighbours and their distance in Å.
Sites, in units of the cell vectors:
Pm1 0.5000 0.0000 0.7588  4 Ge 3.24, 8 Sn 3.27-3.36
Pm2 0.0000 0.5000 0.2412  4 Ge 3.24, 8 Sn 3.27-3.36
Sn1 0.5000 0.0000 0.2124  4 Ge 3.06, 4 Pm 3.27
Sn2 0.0000 0.5000 0.7876  4 Ge 3.06, 4 Pm 3.27
Sn3 0.0000 0.0000 0.5000  8 Sn 3.26-3.57, 4 Pm 3.36
Sn4 0.5000 0.5000 0.5000  8 Sn 3.26-3.57, 4 Pm 3.36
Ge1 0.0000 0.0000 0.0000  4 Sn 3.06, 4 Pm 3.24, 4 Ge 3.26
Ge2 0.5000 0.5000 0.0000  4 Sn 3.06, 4 Pm 3.24, 4 Ge 3.26

For the density of states at the Fermi level, the calculation gives 0.470 states/eV per atom. The calculated formation energy is -0.39 eV/atom. The symmetry is No. 129.

Pm8Sn5Ge: optimized geometry, PBE-GGA.

a = 8.2052 Å, b = 8.2052 Å, c = 8.2052 Å
α = 109.63°, β = 109.16°, γ = 109.63°
Last column: nearest neighbours and their distance in Å.
Sites, in units of the cell vectors:
Pm1 0.6219 0.3912 0.8737  5 Sn 3.15-3.44, 1 Ge 3.40
Pm2 0.2638 0.2581 0.3863  1 Ge 3.04, 2 Sn 3.14-3.16
Pm3 0.1263 0.7482 0.5175  5 Sn 3.15-3.44, 1 Ge 3.40
Pm4 0.9943 0.1224 0.7362  1 Ge 3.04, 2 Sn 3.14-3.16
Pm5 0.7693 0.2518 0.3781  5 Sn 3.15-3.44, 1 Ge 3.40
Pm6 0.6137 0.8776 0.8719  1 Ge 3.04, 2 Sn 3.14-3.16
Pm7 0.4825 0.6088 0.2307  5 Sn 3.15-3.44, 1 Ge 3.40
Pm8 0.1281 0.7419 0.0057  1 Ge 3.04, 2 Sn 3.14-3.16
Sn1 0.5000 0.0000 0.5000  8 Pm 3.15-3.47
Sn2 0.7508 0.6278 0.6238  8 Pm 3.14-3.48
Sn3 0.3762 0.1270 0.0040  8 Pm 3.14-3.48
Sn4 0.9960 0.3722 0.1229  8 Pm 3.14-3.48
Sn5 0.8771 0.8730 0.2492  8 Pm 3.14-3.48
Ge1 0.2500 0.5000 0.7500  8 Pm 3.04-3.40

For the density of states at the Fermi level, the calculation gives 0.128 states/eV per atom. The calculated formation energy is -0.76 eV/atom. The symmetry is No. 82.

PmSn2Ge: optimized geometry, PBE-GGA.

a = 3.9620 Å, b = 3.9620 Å, c = 6.4957 Å
α = 90.00°, β = 90.00°, γ = 90.00°
Last column: nearest neighbours and their distance in Å.
Sites, in units of the cell vectors:
Sn1 0.0000 0.0000 0.2222  1 Sn 2.89, 4 Ge 3.15
Sn2 0.0000 0.0000 0.7778  1 Sn 2.89, 4 Ge 3.15
Ge1 0.5000 0.5000 0.0000  8 Sn 3.15, 2 Pm 3.25
Pm1 0.5000 0.5000 0.5000  2 Ge 3.25, 8 Sn 3.33

For the density of states at the Fermi level, the calculation gives 0.540 states/eV per atom. The calculated formation energy is -0.31 eV/atom. The symmetry is No. 123.